Below is an optimized crystal structure of CePu3Ge4, with properties calculated at the PBE level.

The structure in CIF format:
```
data_CePu3Ge4
_cell_length_a 2.980
_cell_length_b 7.909
_cell_length_c 15.942
_cell_angle_alpha 90.00
_cell_angle_beta 90.00
_cell_angle_gamma 90.00
_space_group_name_H-M_alt 'I m m m'
_space_group_IT_number 71
_space_group_name_Hall '-I 2 2'
loop_
_atom_site_label
_atom_site_fract_x
_atom_site_fract_y
_atom_site_fract_z
Ce1 0.000 0.000 0.000
Pu1 0.000 0.000 0.500
Pu2 0.000 0.500 0.275
Ge1 0.000 0.273 0.127
```

## Properties
- volume (A^3/atom) = 23.48
- E_tot (eV/atom) = -8.68
- mass density (g/cm³) = 10.276
- crystal system = orthorhombic
- formation enthalpy at 0 K (eV per atom) = -0.2590
- relative energy among the computed polymorphs (meV/atom) = 200

---

Below is an optimized crystal structure of MoC2, with properties calculated at the PBE level.

The structure in CIF format:
```
data_MoC2
_cell_length_a 2.5214
_cell_length_b 2.5214
_cell_length_c 9.1457
_cell_angle_alpha 90.00
_cell_angle_beta 90.00
_cell_angle_gamma 120.00
_space_group_name_H-M_alt 'P 6/m m m'
_space_group_IT_number 191
_space_group_name_Hall '-P 6 2'
loop_
_atom_site_label
_atom_site_fract_x
_atom_site_fract_y
_atom_site_fract_z
Mo1 0.0000 0.0000 0.0000
C1 0.3333 0.6667 0.5000
```

## Properties
- volume (A^3/atom) = 16.78
- E_tot (eV/atom) = -8.90
- mass density (g/cm³) = 3.956
- crystal system = hexagonal
- formation enthalpy at 0 K (eV per atom) = 0.8646
- relative energy among the computed polymorphs (meV/atom) = 346

---

Below is an optimized crystal structure of RbNa2ZnSn, with properties calculated at the PBE level.

The structure in CIF format:
```
data_RbNa2ZnSn
_cell_length_a 5.855
_cell_length_b 5.855
_cell_length_c 5.216
_cell_angle_alpha 90.00
_cell_angle_beta 90.00
_cell_angle_gamma 90.00
_space_group_name_H-M_alt 'P 4/m m m'
_space_group_IT_number 123
_space_group_name_Hall '-P 4 2'
loop_
_atom_site_label
_atom_site_fract_x
_atom_site_fract_y
_atom_site_fract_z
Rb1 0.000 0.000 0.000
Na1 0.000 0.500 0.500
Zn1 0.500 0.500 0.500
Sn1 0.500 0.500 0.000
```

## Properties
- volume (A^3/atom) = 35.76
- E_tot (eV/atom) = -1.77
- mass density (g/cm³) = 2.931
- crystal system = tetragonal
- formation enthalpy at 0 K (eV per atom) = 0.0081
- relative energy among the computed polymorphs (meV/atom) = 8

---

Below is an optimized crystal structure of Sm3MgPb3, with properties calculated at the PBE level.

The structure in CIF format:
```
data_Sm3MgPb3
_cell_length_a 9.4498
_cell_length_b 9.4498
_cell_length_c 6.3413
_cell_angle_alpha 90.00
_cell_angle_beta 90.00
_cell_angle_gamma 120.00
_space_group_name_H-M_alt 'P 63/m'
_space_group_IT_number 176
_space_group_name_Hall '-P 6c'
loop_
_atom_site_label
_atom_site_fract_x
_atom_site_fract_y
_atom_site_fract_z
Sm1 0.0458 0.3605 0.2500
Mg1 0.3333 0.6667 0.7500
Pb1 0.0376 0.3459 0.7500
```

## Properties
- volume (A^3/atom) = 35.03
- E_tot (eV/atom) = -4.11
- mass density (g/cm³) = 7.429
- crystal system = hexagonal
- formation enthalpy at 0 K (eV per atom) = -0.2718